1.
Li2ZnHgN | Alexandria | PBE | optimized geometry; energy relative to the elements, uncorrected = -0.20 eV/atom; symmetry = P4/mmm
1.0
4.2936 0.0000 0.0000
0.0000 4.2936 0.0000
0.0000 0.0000 3.8979
Li Zn Hg N
2 1 1 1
direct
0.0000 0.5000 0.0000 Li
0.5000 0.0000 0.0000 Li
0.0000 0.0000 0.5000 Zn
0.5000 0.5000 0.5000 Hg
0.0000 0.0000 0.0000 N

2.
NaLi2Hg2 | Alexandria | PBE | optimized geometry; symmetry = P-3m1; energy above the most stable polymorph in this dataset = 108 meV per atom
1.0
4.9809 0.0000 0.0000
-2.4904 4.3136 0.0000
0.0000 0.0000 5.6179
Na Li Hg
1 2 2
direct
0.0000 0.0000 0.0000 Na
0.3333 0.6667 0.6805 Li
0.6667 0.3333 0.3195 Li
0.3333 0.6667 0.2001 Hg
0.6667 0.3333 0.7999 Hg

no.,V (Å³ per atom),uncorrected energy (eV/atom)
1,14.37,-2.945
2,24.14,-1.327